An optimized crystal structure of HfInAgTeSe2, computed with PBE.

Results
symmetry	Cmcm
E_tot	-4.891	eV per atom

```
HfInAgTeSe2
1.0
1.967 -7.385 0.000
1.967 7.385 0.000
0.000 0.000 10.929
Ag Hf In Se Te
2 2 2 4 2
direct
0.551 0.449 0.250
0.449 0.551 0.750
0.000 0.000 0.000
0.000 0.000 0.500
0.231 0.769 0.250
0.769 0.231 0.750
0.625 0.375 0.034
0.625 0.375 0.466
0.375 0.625 0.534
0.375 0.625 0.966
0.916 0.084 0.250
0.084 0.916 0.750
```

=====

An optimized crystal structure of HfZrIn2Ag2, computed with PBE.

Results
symmetry	Pm
E_tot	-4.949	eV per atom

```
HfZrIn2Ag2
1.0
9.169 0.000 0.000
0.000 4.584 0.000
-4.583 0.000 12.962
Ag Hf In Zr
8 4 8 4
direct
0.000 0.000 0.000
0.501 0.000 0.002
0.374 0.500 0.248
0.874 0.500 0.248
0.248 0.000 0.501
0.752 0.000 0.501
0.123 0.500 0.750
0.627 0.500 0.751
0.312 0.000 0.125
0.813 0.000 0.125
0.063 0.000 0.625
0.938 0.500 0.875
0.062 0.500 0.124
0.563 0.500 0.125
0.937 0.000 0.374
0.437 0.000 0.375
0.813 0.500 0.625
0.313 0.500 0.626
0.187 0.000 0.875
0.688 0.000 0.876
0.188 0.500 0.375
0.687 0.500 0.375
0.562 0.000 0.625
0.437 0.500 0.875
```

=====

An optimized crystal structure of KHfAgO3, computed with PBE.

Results
symmetry	Pnma
E_tot	-6.886	eV per atom

```
KHfAgO3
1.0
-1.120 0.864 2.893
-8.489 -5.286 -1.707
5.129 -9.826 4.919
Ag Hf K O
4 4 4 12
direct
0.250 0.590 0.039
0.750 0.090 0.461
0.250 0.910 0.539
0.750 0.410 0.961
0.250 0.139 0.027
0.750 0.639 0.473
0.250 0.361 0.527
0.750 0.861 0.973
0.250 0.371 0.246
0.750 0.871 0.254
0.250 0.129 0.746
0.750 0.629 0.754
0.250 0.943 0.076
0.750 0.713 0.091
0.750 0.203 0.118
0.250 0.703 0.382
0.250 0.213 0.409
0.750 0.443 0.424
0.250 0.557 0.576
0.750 0.787 0.591
0.750 0.297 0.618
0.250 0.797 0.882
0.250 0.287 0.909
0.750 0.057 0.924
```

=====

An optimized crystal structure of KHfAgS3, computed with PBE.

Results
symmetry	Cmcm
E_tot	-5.512	eV per atom

```
KHfAgS3
1.0
-5.779 1.043 -4.595
-6.264 -2.472 -3.200
-5.396 3.777 7.644
Ag Hf K S
2 2 2 6
direct
0.054 0.054 0.250
0.946 0.946 0.750
0.500 0.500 0.000
0.500 0.500 0.500
0.759 0.759 0.250
0.241 0.241 0.750
0.121 0.121 0.028
0.438 0.438 0.250
0.121 0.121 0.472
0.879 0.879 0.528
0.562 0.562 0.750
0.879 0.879 0.972
```

=====

An optimized crystal structure of KHfAgS3, computed with PBE.

Results
symmetry	Pnma
E_tot	-5.434	eV per atom

```
KHfAgS3
1.0
-1.706 -3.116 1.422
-0.884 -4.569 -11.074
10.728 -5.271 1.319
Ag Hf K S
4 4 4 12
direct
0.750 0.729 0.211
0.750 0.229 0.289
0.250 0.771 0.711
0.250 0.271 0.789
0.250 0.455 0.159
0.250 0.955 0.341
0.750 0.045 0.659
0.750 0.545 0.841
0.250 0.852 0.010
0.250 0.352 0.490
0.750 0.648 0.510
0.750 0.148 0.990
0.750 0.576 0.070
0.250 0.257 0.150
0.750 0.961 0.192
0.750 0.461 0.308
0.250 0.757 0.350
0.750 0.076 0.430
0.250 0.924 0.570
0.750 0.243 0.650
0.250 0.539 0.692
0.250 0.039 0.808
0.750 0.743 0.850
0.250 0.424 0.930
```

=====

An optimized crystal structure of KHfAgS3, computed with PBE.

Results
symmetry	Pnma
E_tot	-5.524	eV per atom

```
KHfAgS3
1.0
-5.470 8.700 3.069
-0.445 -1.486 3.420
12.210 6.171 4.271
Ag Hf K S
4 4 4 12
direct
0.260 0.750 0.209
0.760 0.750 0.291
0.240 0.250 0.709
0.740 0.250 0.791
0.986 0.250 0.233
0.486 0.250 0.267
0.514 0.750 0.733
0.014 0.750 0.767
0.268 0.250 0.000
0.768 0.250 0.500
0.232 0.750 0.500
0.732 0.750 0.000
0.061 0.750 0.124
0.478 0.750 0.142
0.779 0.250 0.170
0.279 0.250 0.330
0.978 0.750 0.358
0.561 0.750 0.376
0.439 0.250 0.624
0.022 0.250 0.642
0.721 0.750 0.670
0.221 0.750 0.830
0.522 0.250 0.858
0.939 0.250 0.876
```

=====

An optimized crystal structure of KHfAgTe2S, computed with PBE.

Results
symmetry	Cmcm
E_tot	-4.879	eV per atom

```
KHfAgTe2S
1.0
2.087 -8.057 0.000
2.087 8.057 0.000
0.000 0.000 10.267
Ag Hf K S Te
2 2 2 2 4
direct
0.545 0.455 0.250
0.455 0.545 0.750
0.000 0.000 0.000
0.000 0.000 0.500
0.245 0.755 0.250
0.755 0.245 0.750
0.956 0.044 0.250
0.044 0.956 0.750
0.629 0.371 0.020
0.629 0.371 0.480
0.371 0.629 0.520
0.371 0.629 0.980
```

=====

An optimized crystal structure of KHfAgSe3, computed with PBE.

Results
symmetry	Pnma
E_tot	-5.093	eV per atom

```
KHfAgSe3
1.0
10.994 0.000 0.000
0.000 3.913 0.000
0.000 0.000 14.939
Ag Hf K Se
4 4 4 12
direct
0.251 0.750 0.210
0.751 0.750 0.290
0.249 0.250 0.710
0.749 0.250 0.790
0.528 0.250 0.235
0.028 0.250 0.265
0.972 0.750 0.735
0.472 0.750 0.765
0.243 0.250 0.007
0.743 0.250 0.493
0.257 0.750 0.507
0.757 0.750 0.993
0.454 0.750 0.122
0.034 0.750 0.137
0.740 0.250 0.169
0.240 0.250 0.331
0.534 0.750 0.363
0.954 0.750 0.378
0.046 0.250 0.622
0.466 0.250 0.637
0.760 0.750 0.669
0.260 0.750 0.831
0.966 0.250 0.863
0.546 0.250 0.878
```

=====

An optimized crystal structure of KHfAgSe3, computed with PBE.

Results
symmetry	Pnma
E_tot	-4.984	eV per atom

```
KHfAgSe3
1.0
-6.987 -0.157 3.613
1.518 -2.934 2.809
5.088 12.576 10.385
Ag Hf K Se
4 4 4 12
direct
0.021 0.750 0.171
0.521 0.750 0.329
0.479 0.250 0.671
0.979 0.250 0.829
0.745 0.750 0.044
0.245 0.750 0.456
0.755 0.250 0.544
0.255 0.250 0.956
0.372 0.250 0.184
0.872 0.250 0.316
0.128 0.750 0.684
0.628 0.750 0.816
0.373 0.750 0.034
0.996 0.250 0.074
0.682 0.750 0.193
0.182 0.750 0.307
0.496 0.250 0.426
0.873 0.750 0.466
0.127 0.250 0.534
0.504 0.750 0.574
0.818 0.250 0.693
0.318 0.250 0.807
0.004 0.750 0.926
0.627 0.250 0.966
```

=====

An optimized crystal structure of KHfAgSe3, computed with PBE.

Results
symmetry	Pnma
E_tot	-4.993	eV per atom

```
KHfAgSe3
1.0
12.240 0.000 0.000
0.000 3.994 0.000
0.000 0.000 12.748
Ag Hf K Se
4 4 4 12
direct
0.741 0.000 0.211
0.241 0.000 0.289
0.759 0.500 0.711
0.259 0.500 0.789
0.453 0.500 0.161
0.953 0.500 0.339
0.047 0.000 0.661
0.547 0.000 0.839
0.844 0.500 0.018
0.344 0.500 0.482
0.656 0.000 0.518
0.156 0.000 0.982
0.579 0.000 0.071
0.248 0.500 0.149
0.965 0.000 0.190
0.465 0.000 0.310
0.748 0.500 0.351
0.079 0.000 0.429
0.921 0.500 0.571
0.252 0.000 0.649
0.535 0.500 0.690
0.035 0.500 0.810
0.752 0.000 0.851
0.421 0.500 0.929
```

=====

An optimized crystal structure of KHfAg3Se4, computed with PBE.

Results
symmetry	P-43m
E_tot	-4.477	eV per atom

```
KHfAg3Se4
1.0
-0.009 -5.264 -3.801
3.157 -3.325 4.597
-5.674 -1.841 2.564
Ag Hf K Se
3 1 1 4
direct
0.500 0.500 0.000
0.500 0.000 0.500
0.000 0.500 0.500
0.500 0.500 0.500
0.000 0.000 0.000
0.275 0.275 0.275
0.725 0.725 0.275
0.725 0.275 0.725
0.275 0.725 0.725
```

=====

An optimized crystal structure of KHfAgSe3, computed with PBE.

Results
symmetry	C2/m
E_tot	-5.003	eV per atom

```
KHfAgSe3
1.0
8.770 -1.941 0.000
8.770 1.941 0.000
-1.548 0.000 9.044
Ag Hf K Se
2 2 2 6
direct
0.526 0.526 0.227
0.474 0.474 0.773
0.162 0.162 0.079
0.838 0.838 0.921
0.861 0.861 0.430
0.139 0.139 0.570
0.000 0.000 0.000
0.323 0.323 0.120
0.680 0.680 0.281
0.500 0.500 0.500
0.320 0.320 0.719
0.677 0.677 0.880
```

=====

An optimized crystal structure of KHfAgSe3, computed with PBE.

Results
symmetry	Pnma
E_tot	-5.133	eV per atom

```
KHfAgSe3
1.0
-3.196 -14.451 -0.173
1.986 -0.398 -3.421
8.984 -2.052 5.454
Ag Hf K Se
4 4 4 12
direct
0.516 0.250 0.094
0.016 0.250 0.406
0.984 0.750 0.594
0.484 0.750 0.906
0.014 0.750 0.171
0.514 0.750 0.329
0.486 0.250 0.671
0.986 0.250 0.829
0.731 0.750 0.046
0.231 0.750 0.454
0.769 0.250 0.546
0.269 0.250 0.954
0.911 0.250 0.066
0.398 0.750 0.143
0.134 0.250 0.224
0.634 0.250 0.276
0.898 0.750 0.357
0.411 0.250 0.434
0.589 0.750 0.566
0.102 0.250 0.643
0.366 0.750 0.724
0.866 0.750 0.776
0.602 0.250 0.857
0.089 0.750 0.934
```

=====

An optimized crystal structure of KHfAgSe3, computed with PBE.

Results
symmetry	Cmcm
E_tot	-5.081	eV per atom

```
KHfAgSe3
1.0
-2.185 1.916 -7.159
-5.544 0.981 -5.292
-1.104 9.975 3.006
Ag Hf K Se
2 2 2 6
direct
0.547 0.547 0.250
0.453 0.453 0.750
0.000 0.000 0.000
0.000 0.000 0.500
0.249 0.249 0.250
0.751 0.751 0.750
0.625 0.625 0.031
0.931 0.931 0.250
0.625 0.625 0.469
0.375 0.375 0.531
0.069 0.069 0.750
0.375 0.375 0.969
```

=====

An optimized crystal structure of KHfAgSe3, computed with PBE.

Results
symmetry	Pnma
E_tot	-5.095	eV per atom

```
KHfAgSe3
1.0
11.315 0.000 0.000
0.000 3.880 0.000
0.000 0.000 14.995
Ag Hf K Se
4 4 4 12
direct
0.243 0.250 0.226
0.743 0.250 0.274
0.257 0.750 0.726
0.757 0.750 0.774
0.519 0.750 0.227
0.019 0.750 0.273
0.981 0.250 0.727
0.481 0.250 0.773
0.217 0.750 0.017
0.717 0.750 0.483
0.283 0.250 0.517
0.783 0.250 0.983
0.428 0.250 0.123
0.030 0.250 0.146
0.718 0.750 0.153
0.218 0.750 0.347
0.530 0.250 0.354
0.928 0.250 0.377
0.072 0.750 0.623
0.470 0.750 0.646
0.782 0.250 0.653
0.282 0.250 0.847
0.970 0.750 0.854
0.572 0.750 0.877
```

=====

An optimized crystal structure of KHfAgTeSe2, computed with PBE.

Results
symmetry	Cmcm
energy above the lowest structure with this stoichiometry	78	meV/atom

```
KHfAgTeSe2
1.0
1.996 -7.810 0.000
1.996 7.810 0.000
0.000 0.000 10.902
Ag Hf K Se Te
2 2 2 4 2
direct
0.542 0.458 0.250
0.458 0.542 0.750
0.000 0.000 0.000
0.000 0.000 0.500
0.233 0.767 0.250
0.767 0.233 0.750
0.617 0.383 0.039
0.617 0.383 0.461
0.383 0.617 0.539
0.383 0.617 0.961
0.919 0.081 0.250
0.081 0.919 0.750
```